First-principles (PBE-GGA) data for a geometry-optimized CeNp2Tl3S6 structure, as listed in Alexandria via LeMat-Bulk.

Cell: 7.1003 7.1003 7.8682 Å, 98.65 98.65 119.99°
Closest atoms and distances in Å follow each position.
Atoms (fractional coordinates):
Tl (0.1672, 0.8328, 0.5000)  6 S 3.24-3.32
S (0.2759, 0.2759, 0.8051)  2 Np 2.76, 1 Ce 2.83
S (0.5938, 0.9346, 0.8040)  2 Np 2.76, 1 Ce 2.83
Tl (0.5000, 0.5000, 0.5000)  6 S 3.25-3.31
Ce (0.0000, 0.0000, 0.0000)  6 S 2.83
S (0.7241, 0.7241, 0.1949)  2 Np 2.76, 1 Ce 2.83
Np (0.3333, 0.6667, 0.0000)  6 S 2.76
S (0.4062, 0.0654, 0.1960)  2 Np 2.76, 1 Ce 2.83
Tl (0.8328, 0.1672, 0.5000)  6 S 3.24-3.32
S (0.9346, 0.5938, 0.8040)  2 Np 2.76, 1 Ce 2.83
Np (0.6667, 0.3333, 0.0000)  6 S 2.76
S (0.0654, 0.4062, 0.1960)  2 Np 2.76, 1 Ce 2.83

DFT total energy, eV per cell: -77.53

***

First-principles (PBE-GGA) data for a geometry-optimized Mg2TlOsO8 structure, as listed in Alexandria via LeMat-Bulk.

Cell: 4.7014 4.6958 6.7244 Å, 90.00 90.00 92.07°
Closest atoms and distances in Å follow each position.
Atoms (fractional coordinates):
O (0.7114, 0.7123, 0.0000)  1 Os 1.88
O (0.6859, 0.6871, 0.5000)  1 Tl 2.05, 2 Mg 2.11
O (0.1941, 0.8046, 0.8033)  1 Os 1.87, 1 Mg 2.09
Os (0.0000, 0.0000, 0.0000)  6 O 1.87-1.88
O (0.2886, 0.2877, 0.0000)  1 Os 1.88
Mg (0.5000, 0.5000, 0.2441)  6 O 2.09-2.15
O (0.3141, 0.3129, 0.5000)  1 Tl 2.05, 2 Mg 2.11
O (0.1942, 0.8046, 0.1967)  1 Os 1.87, 1 Mg 2.09
O (0.8058, 0.1954, 0.8033)  1 Os 1.87, 1 Mg 2.09
Tl (0.0000, 0.0000, 0.5000)  2 O 2.05
O (0.8059, 0.1954, 0.1967)  1 Os 1.87, 1 Mg 2.09
Mg (0.5000, 0.5000, 0.7559)  6 O 2.09-2.15

DFT total energy, eV per cell: -71.79

***

First-principles (PBE-GGA) data for a geometry-optimized Ac2BeCu structure, as listed in Alexandria via LeMat-Bulk.

Cell: 3.7885 5.3562 5.3562 Å, 90.00 90.00 90.00°
Closest atoms and distances in Å follow each position.
Atoms (fractional coordinates):
Ac (0.0000, 0.0000, 0.5000)  4 Be 3.28, 4 Cu 3.28
Ac (0.0000, 0.5000, 0.0000)  4 Be 3.28, 4 Cu 3.28
Be (0.5000, 0.5000, 0.5000)  8 Ac 3.28
Cu (0.5000, 0.0000, 0.0000)  8 Ac 3.28

DFT total energy, eV per cell: -15.48
E_form, meV per atom: 139

***

First-principles (PBE-GGA) data for a geometry-optimized Mn2HgSb structure, as listed in Alexandria via LeMat-Bulk.

Cell: 5.4853 5.4853 5.4853 Å, 137.17 137.13 62.21°
Closest atoms and distances in Å follow each position.
Atoms (fractional coordinates):
Sb (0.5002, 0.5002, 0.0000)  8 Mn 2.83-3.09, 4 Hg 3.09
Mn (0.9998, 0.9998, 0.0000)  4 Sb 2.83, 4 Mn 3.08-3.09, 4 Hg 3.09
Mn (0.7501, 0.2501, 0.5000)  4 Hg 2.83, 4 Mn 3.08-3.09, 4 Sb 3.09
Hg (0.2500, 0.7500, 0.5000)  8 Mn 2.83-3.09, 4 Sb 3.09

Energy above the lowest structure with this stoichiometry, kJ per mole of atoms: 5.5
DFT total energy, eV per cell: -21.55

***

First-principles (PBE-GGA) data for a geometry-optimized TiCo2PS structure, as listed in Alexandria via LeMat-Bulk.

Cell: 3.9910 4.9523 3.9910 Å, 90.00 90.00 90.00°
Closest atoms and distances in Å follow each position.
Atoms (fractional coordinates):
P (0.0000, 0.0000, 0.0000)  4 Co 2.00
Co (0.5000, 0.0000, 0.0000)  2 P 2.00
S (0.0000, 0.5000, 0.0000)  2 P 2.48
Co (0.0000, 0.0000, 0.5000)  2 P 2.00
Ti (0.5000, 0.5000, 0.5000)  4 S 2.82

DFT total energy, eV per cell: -30.09

***

First-principles (PBE-GGA) data for a geometry-optimized Mg2TiTl structure, as listed in Alexandria via LeMat-Bulk.

Cell: 4.9403 4.9403 4.9403 Å, 60.00 60.00 60.00°
Closest atoms and distances in Å follow each position.
Atoms (fractional coordinates):
Tl (0.5000, 0.5000, 0.5000)  8 Mg 3.03
Ti (0.0000, 0.0000, 0.0000)  8 Mg 3.03
Mg (0.2500, 0.2500, 0.2500)  4 Tl 3.03, 4 Ti 3.03
Mg (0.7500, 0.7500, 0.7500)  4 Tl 3.03, 4 Ti 3.03

Energy above the lowest structure with this stoichiometry, kJ per mole of atoms: 23.3
DFT total energy, eV per cell: -12.39
E_form, meV per atom: 266

***

Q: Look up the DFT total energy of the fifth one.
A: -30.09 eV per cell